A geometry-optimized K2TiI structure. Source: the Alexandria database, functional PBE-GGA. Values from VASP.

Crystal system: tetragonal
Excess energy over the best structure of this formula in the dataset in eV/atom: 0.000
SG: I-42d, No. 122

Cell and atoms, written as Quantum ESPRESSO input:
```
&SYSTEM
  ibrav = 0, nat = 8, ntyp = 3
/
ATOMIC_SPECIES
I 126.90 I.upf
K 39.10 K.upf
Ti 47.87 Ti.upf
CELL_PARAMETERS angstrom
12.611 0.000 0.000
0.000 12.611 0.000
6.305 6.305 2.724
ATOMIC_POSITIONS crystal
I 0.000 0.000 0.000
I 0.750 0.250 0.500
K 0.763 0.125 0.250
K 0.987 0.625 0.250
K 0.375 0.237 0.750
K 0.875 0.013 0.750
Ti 0.500 0.500 0.000
Ti 0.250 0.750 0.500
```



A geometry-optimized KTiI2 structure. Source: the Alexandria database, functional PBE-GGA. Values from VASP.

Crystal system: cubic
Excess energy over the best structure of this formula in the dataset in eV/atom: 0.284
SG: Fm-3m, No. 225

Cell and atoms, written as Quantum ESPRESSO input:
```
&SYSTEM
  ibrav = 0, nat = 4, ntyp = 3
/
ATOMIC_SPECIES
I 126.90 I.upf
K 39.10 K.upf
Ti 47.87 Ti.upf
CELL_PARAMETERS angstrom
0.000 3.977 3.977
3.977 0.000 3.977
3.977 3.977 0.000
ATOMIC_POSITIONS crystal
I 0.250 0.250 0.250
I 0.750 0.750 0.750
K 0.000 0.000 0.000
Ti 0.500 0.500 0.500
```



A geometry-optimized KTi2I structure. Source: the Alexandria database, functional PBE-GGA. Values from VASP.

Crystal system: tetragonal
Excess energy over the best structure of this formula in the dataset in eV/atom: 0.000
SG: I4_1/amd, No. 141

Cell and atoms, written as Quantum ESPRESSO input:
```
&SYSTEM
  ibrav = 0, nat = 8, ntyp = 3
/
ATOMIC_SPECIES
I 126.90 I.upf
K 39.10 K.upf
Ti 47.87 Ti.upf
CELL_PARAMETERS angstrom
4.743 0.000 0.000
0.000 4.743 0.000
2.371 2.371 10.692
ATOMIC_POSITIONS crystal
I 0.000 0.000 0.000
I 0.750 0.250 0.500
K 0.500 0.500 0.000
K 0.250 0.750 0.500
Ti 0.875 0.125 0.250
Ti 0.875 0.625 0.250
Ti 0.375 0.125 0.750
Ti 0.875 0.125 0.750
```



A geometry-optimized KTi2I structure. Source: the Alexandria database, functional PBE-GGA. Values from VASP.

Crystal system: cubic
Excess energy over the best structure of this formula in the dataset in eV/atom: 0.488
SG: Fm-3m, No. 225

Cell and atoms, written as Quantum ESPRESSO input:
```
&SYSTEM
  ibrav = 0, nat = 4, ntyp = 3
/
ATOMIC_SPECIES
I 126.90 I.upf
K 39.10 K.upf
Ti 47.87 Ti.upf
CELL_PARAMETERS angstrom
-2.000 -4.133 2.113
-4.768 -1.316 -1.041
-0.934 -4.084 -2.828
ATOMIC_POSITIONS crystal
I 0.500 0.500 0.500
K 0.000 0.000 0.000
Ti 0.250 0.250 0.250
Ti 0.750 0.750 0.750
```



A geometry-optimized KTiI4 structure. Source: the Alexandria database, functional PBE-GGA. Values from VASP.

Crystal system: orthorhombic
Excess energy over the best structure of this formula in the dataset in eV/atom: 0.051
SG: P222, No. 16

Cell and atoms, written as Quantum ESPRESSO input:
```
&SYSTEM
  ibrav = 0, nat = 12, ntyp = 3
/
ATOMIC_SPECIES
K 39.10 K.upf
Ti 47.87 Ti.upf
I 126.90 I.upf
CELL_PARAMETERS angstrom
8.786 0.000 0.000
0.000 9.045 0.000
0.000 0.000 9.853
ATOMIC_POSITIONS crystal
K 0.000 0.000 0.000
K 0.500 0.000 0.500
Ti 0.000 0.500 0.000
Ti 0.000 0.000 0.500
I 0.187 0.331 0.139
I 0.187 0.669 0.861
I 0.813 0.331 0.861
I 0.813 0.669 0.139
I 0.812 0.846 0.662
I 0.812 0.154 0.338
I 0.188 0.846 0.338
I 0.188 0.154 0.662
```



A geometry-optimized KTi4I7 structure. Source: the Alexandria database, functional PBE-GGA. Values from VASP.

Crystal system: orthorhombic
SG: Pmmn, No. 59
Calculated total energy in eV/cell: -100.8

Cell and atoms, written as Quantum ESPRESSO input:
```
&SYSTEM
  ibrav = 0, nat = 24, ntyp = 3
/
ATOMIC_SPECIES
K 39.10 K.upf
Ti 47.87 Ti.upf
I 126.90 I.upf
CELL_PARAMETERS angstrom
-5.748 3.955 3.761
-3.554 -2.837 -2.444
0.516 -14.081 15.596
ATOMIC_POSITIONS crystal
K 0.678 0.750 0.500
K 0.848 0.250 0.000
Ti 0.635 0.750 0.857
Ti 0.857 0.750 0.245
Ti 0.668 0.250 0.255
Ti 0.891 0.250 0.643
Ti 0.890 0.250 0.357
Ti 0.635 0.750 0.143
Ti 0.857 0.750 0.755
Ti 0.669 0.250 0.745
I 0.973 0.750 0.111
I 0.553 0.250 0.389
I 0.492 0.250 0.865
I 0.034 0.750 0.635
I 0.034 0.750 0.365
I 0.492 0.250 0.135
I 0.503 0.750 0.735
I 0.023 0.250 0.765
I 0.023 0.250 0.235
I 0.503 0.750 0.265
I 0.545 0.750 0.000
I 0.981 0.250 0.500
I 0.973 0.750 0.889
I 0.553 0.250 0.611
```